[1]
! B7C5, optimized geometry, DFT PBE; values from VASP
&SYSTEM
  ibrav = 0, nat = 12, ntyp = 2
/
ATOMIC_SPECIES
B 10.81 B.upf
C 12.01 C.upf
ATOMIC_POSITIONS crystal
B 0.925 0.925 0.211
B 0.297 0.297 0.168
B 0.230 0.230 0.439
B 0.992 0.992 0.497
B 0.670 0.670 0.252
B 0.625 0.625 0.545
B 0.336 0.336 0.691
C 0.999 0.999 0.982
C 0.931 0.931 0.731
C 0.245 0.245 0.892
C 0.671 0.671 0.830
C 0.579 0.579 0.013
CELL_PARAMETERS angstrom
-3.602 -4.542 0.161
-2.725 -4.439 2.550
-3.828 3.974 1.236
! ΔE_f (kJ/mol of atoms): 44.3
! Polymorph energy (0 for the lowest one) (eV/f.u.): 3.54
! Space-group type: No. 8
! Crystal system: monoclinic
! V (A^3/atom): 6.73

---

[2]
! BC, optimized geometry, DFT PBE; values from VASP
&SYSTEM
  ibrav = 0, nat = 12, ntyp = 2
/
ATOMIC_SPECIES
B 10.81 B.upf
C 12.01 C.upf
ATOMIC_POSITIONS crystal
B 0.500 0.500 0.874
B 0.500 0.500 0.469
B 0.500 0.000 0.571
B 0.000 0.000 0.672
B 0.000 0.500 0.771
B 0.000 0.000 0.312
C 0.500 0.000 0.951
C 0.500 0.500 0.159
C 0.500 0.000 0.224
C 0.000 0.500 0.388
C 0.000 0.000 0.019
C 0.000 0.500 0.088
CELL_PARAMETERS angstrom
-2.089 -1.004 -0.750
0.011 -1.510 1.992
-6.744 8.944 6.815
! ΔE_f (kJ/mol of atoms): 34.9
! Polymorph energy (0 for the lowest one) (eV/f.u.): 0.42
! Space-group type: No. 25
! Crystal system: orthorhombic
! V (A^3/atom): 6.65

---

[3]
! BC, optimized geometry, DFT PBE; values from VASP
&SYSTEM
  ibrav = 0, nat = 12, ntyp = 2
/
ATOMIC_SPECIES
B 10.81 B.upf
C 12.01 C.upf
ATOMIC_POSITIONS crystal
B 0.015 0.015 0.007
B 0.919 0.919 0.248
B 0.331 0.331 0.127
B 0.235 0.235 0.368
B 0.917 0.917 0.666
B 0.333 0.333 0.709
C 0.017 0.017 0.511
C 0.660 0.660 0.330
C 0.587 0.587 0.544
C 0.233 0.233 0.864
C 0.663 0.663 0.831
C 0.590 0.590 0.045
CELL_PARAMETERS angstrom
6.289 0.147 -1.253
5.693 2.677 -1.253
-0.007 -0.002 4.979
! ΔE_f (kJ/mol of atoms): 41.4
! Polymorph energy (0 for the lowest one) (eV/f.u.): 0.56
! Space-group type: No. 12
! Crystal system: monoclinic
! V (A^3/atom): 6.64

---

[4]
! B7C5, optimized geometry, DFT PBE; values from VASP
&SYSTEM
  ibrav = 0, nat = 12, ntyp = 2
/
ATOMIC_SPECIES
B 10.81 B.upf
C 12.01 C.upf
ATOMIC_POSITIONS crystal
B 0.500 0.500 0.861
B 0.500 0.500 0.472
B 0.500 0.000 0.600
B 0.000 0.500 0.733
B 0.500 0.500 0.167
B 0.000 0.000 0.326
B 0.000 0.000 0.008
C 0.500 0.000 0.920
C 0.000 0.000 0.667
C 0.500 0.000 0.248
C 0.000 0.500 0.413
C 0.000 0.500 0.085
CELL_PARAMETERS angstrom
2.740 0.000 0.000
0.000 2.740 0.000
0.000 0.000 11.379
! ΔE_f (kJ/mol of atoms): 37.6
! Polymorph energy (0 for the lowest one) (eV/f.u.): 2.70
! Space-group type: No. 115
! Crystal system: tetragonal
! V (A^3/atom): 7.12

---

Copy entry 1 word for word.
! B7C5, optimized geometry, DFT PBE; values from VASP
&SYSTEM
  ibrav = 0, nat = 12, ntyp = 2
/
ATOMIC_SPECIES
B 10.81 B.upf
C 12.01 C.upf
ATOMIC_POSITIONS crystal
B 0.925 0.925 0.211
B 0.297 0.297 0.168
B 0.230 0.230 0.439
B 0.992 0.992 0.497
B 0.670 0.670 0.252
B 0.625 0.625 0.545
B 0.336 0.336 0.691
C 0.999 0.999 0.982
C 0.931 0.931 0.731
C 0.245 0.245 0.892
C 0.671 0.671 0.830
C 0.579 0.579 0.013
CELL_PARAMETERS angstrom
-3.602 -4.542 0.161
-2.725 -4.439 2.550
-3.828 3.974 1.236
! ΔE_f (kJ/mol of atoms): 44.3
! Polymorph energy (0 for the lowest one) (eV/f.u.): 3.54
! Space-group type: No. 8
! Crystal system: monoclinic
! V (A^3/atom): 6.73

---

The highest ΔE_f belongs to which entry? number 1

---

What is the formula in the second record? BC

---

Please write out number 2 again, unchanged.
! BC, optimized geometry, DFT PBE; values from VASP
&SYSTEM
  ibrav = 0, nat = 12, ntyp = 2
/
ATOMIC_SPECIES
B 10.81 B.upf
C 12.01 C.upf
ATOMIC_POSITIONS crystal
B 0.500 0.500 0.874
B 0.500 0.500 0.469
B 0.500 0.000 0.571
B 0.000 0.000 0.672
B 0.000 0.500 0.771
B 0.000 0.000 0.312
C 0.500 0.000 0.951
C 0.500 0.500 0.159
C 0.500 0.000 0.224
C 0.000 0.500 0.388
C 0.000 0.000 0.019
C 0.000 0.500 0.088
CELL_PARAMETERS angstrom
-2.089 -1.004 -0.750
0.011 -1.510 1.992
-6.744 8.944 6.815
! ΔE_f (kJ/mol of atoms): 34.9
! Polymorph energy (0 for the lowest one) (eV/f.u.): 0.42
! Space-group type: No. 25
! Crystal system: orthorhombic
! V (A^3/atom): 6.65